1:
## SrAcPdAu (PBE)

Data for SrAcPdAu after structural relaxation.

Cell: 5.404 5.404 5.404 Å, 60.00 60.00 60.00°
Fractional coordinates of all 4 atoms:
Sr1 0.000 0.000 0.000
Ac1 0.500 0.500 0.500
Pd1 0.250 0.250 0.250
Au1 0.750 0.750 0.750

Computed properties:
density of states at the Fermi level: 3.4 states/eV per cell
SG: No. 216



2:
## SrAcPdAu (PBE)

Data for SrAcPdAu after structural relaxation.

Cell: 4.670 6.266 6.266 Å, 39.53 90.00 90.00°
Fractional coordinates of all 4 atoms:
Sr1 0.000 0.000 0.000
Ac1 0.500 0.273 0.273
Pd1 0.000 0.725 0.725
Au1 0.500 0.559 0.559

Computed properties:
density of states at the Fermi level: 2.8 states/eV per cell
SG: No. 38



Q: Which of them is the least stable? A: 1.



1:
## AcTbPdAu (PBE)

Data for AcTbPdAu after structural relaxation.

Cell: 5.274 5.274 5.274 Å, 60.00 60.00 60.00°
Fractional coordinates of all 4 atoms:
Ac1 0.000 0.000 0.000
Tb1 0.500 0.500 0.500
Pd1 0.750 0.750 0.750
Au1 0.250 0.250 0.250

Computed properties:
density of states at the Fermi level: 3.6 states/eV per cell
SG: No. 216



2:
## AcTbPdAu (PBE)

Data for AcTbPdAu after structural relaxation.

Cell: 4.877 5.854 5.854 Å, 39.68 90.00 90.00°
Fractional coordinates of all 4 atoms:
Ac1 0.000 0.000 0.000
Tb1 0.500 0.725 0.725
Pd1 0.000 0.272 0.272
Au1 0.500 0.439 0.439

Computed properties:
density of states at the Fermi level: 2.6 states/eV per cell
SG: No. 38



Q: Which of them is the least stable? A: 1.



1:
## AcYPdAu (PBE)

Data for AcYPdAu after structural relaxation.

Cell: 4.875 5.850 5.850 Å, 39.68 90.00 90.00°
Fractional coordinates of all 4 atoms:
Ac1 0.000 0.000 0.000
Y1 0.500 0.725 0.725
Pd1 0.000 0.273 0.273
Au1 0.500 0.439 0.439

Computed properties:
density of states at the Fermi level: 2.4 states/eV per cell
SG: No. 38



2:
## AcYPdAu (PBE)

Data for AcYPdAu after structural relaxation.

Cell: 5.272 5.272 5.272 Å, 60.00 60.00 60.00°
Fractional coordinates of all 4 atoms:
Ac1 0.000 0.000 0.000
Y1 0.500 0.500 0.500
Pd1 0.750 0.750 0.750
Au1 0.250 0.250 0.250

Computed properties:
density of states at the Fermi level: 3.3 states/eV per cell
SG: No. 216



Q: Which of them is the least stable? A: 2.



1:
## Ac3PmAu2 (PBE)

Data for Ac3PmAu2 after structural relaxation.

Cell: 9.224 9.224 9.224 Å, 131.64 73.36 128.46°
Fractional coordinates of all 12 atoms:
Ac1 0.025 0.750 0.275
Ac2 0.250 0.250 0.000
Ac3 0.475 0.750 0.725
Ac4 0.525 0.250 0.275
Ac5 0.750 0.750 0.000
Ac6 0.975 0.250 0.725
Pm1 0.000 0.500 0.500
Pm2 0.500 0.000 0.500
Au1 0.139 0.202 0.342
Au2 0.361 0.702 0.063
Au3 0.639 0.298 0.937
Au4 0.861 0.798 0.658

Computed properties:
density of states at the Fermi level: 15.1 states/eV per cell
SG: No. 72



2:
## Ac3PmAu2 (PBE)

Data for Ac3PmAu2 after structural relaxation.

Cell: 5.351 9.913 7.544 Å, 90.00 90.00 90.00°
Fractional coordinates of all 12 atoms:
Ac1 0.000 0.078 0.000
Ac2 0.000 0.344 0.355
Ac3 0.000 0.656 0.855
Ac4 0.000 0.922 0.500
Ac5 0.500 0.171 0.652
Ac6 0.500 0.829 0.152
Pm1 0.500 0.420 0.011
Pm2 0.500 0.580 0.511
Au1 0.000 0.350 0.785
Au2 0.000 0.650 0.285
Au3 0.500 0.156 0.230
Au4 0.500 0.844 0.730

Computed properties:
density of states at the Fermi level: 12.0 states/eV per cell
SG: No. 26



Q: Which of them is the least stable? A: 1.



1:
## Ac2PmAu6 (PBE)

Data for Ac2PmAu6 after structural relaxation.

Cell: 8.852 8.852 8.852 Å, 154.37 127.21 59.58°
Fractional coordinates of all 9 atoms:
Ac1 0.143 0.143 0.000
Ac2 0.857 0.857 0.000
Pm1 0.500 0.000 0.500
Au1 0.149 0.329 0.820
Au2 0.189 0.500 0.689
Au3 0.491 0.671 0.820
Au4 0.509 0.329 0.180
Au5 0.811 0.500 0.311
Au6 0.851 0.671 0.180

Computed properties:
density of states at the Fermi level: 5.6 states/eV per cell
SG: No. 71



2:
## Ac2PmAu6 (PBE)

Data for Ac2PmAu6 after structural relaxation.

Cell: 8.359 8.359 3.790 Å, 90.00 90.00 120.00°
Fractional coordinates of all 9 atoms:
Ac1 0.333 0.667 0.000
Ac2 0.667 0.333 0.000
Pm1 0.000 0.000 0.000
Au1 0.000 0.331 0.500
Au2 0.000 0.669 0.500
Au3 0.331 0.000 0.500
Au4 0.331 0.331 0.500
Au5 0.669 0.000 0.500
Au6 0.669 0.669 0.500

Computed properties:
density of states at the Fermi level: 6.7 states/eV per cell
SG: No. 191



Q: Which of them is the least stable? A: 1.



1:
## AcPm3Au2 (PBE)

Data for AcPm3Au2 after structural relaxation.

Cell: 8.890 8.890 8.995 Å, 115.52 115.52 35.01°
Fractional coordinates of all 12 atoms:
Ac1 0.132 0.132 0.200
Ac2 0.868 0.868 0.800
Pm1 0.063 0.063 0.722
Pm2 0.302 0.302 0.997
Pm3 0.379 0.379 0.491
Pm4 0.621 0.621 0.509
Pm5 0.698 0.698 0.003
Pm6 0.937 0.937 0.278
Au1 0.217 0.217 0.618
Au2 0.495 0.495 0.155
Au3 0.505 0.505 0.845
Au4 0.783 0.783 0.382

Computed properties:
density of states at the Fermi level: 12.0 states/eV per cell
SG: No. 12



2:
## AcPm3Au2 (PBE)

Data for AcPm3Au2 after structural relaxation.

Cell: 5.127 9.294 7.581 Å, 90.00 90.00 90.00°
Fractional coordinates of all 12 atoms:
Ac1 0.000 0.077 0.000
Ac2 0.000 0.923 0.500
Pm1 0.000 0.340 0.638
Pm2 0.000 0.660 0.138
Pm3 0.500 0.174 0.343
Pm4 0.500 0.426 0.977
Pm5 0.500 0.574 0.477
Pm6 0.500 0.826 0.843
Au1 0.000 0.351 0.245
Au2 0.000 0.649 0.745
Au3 0.500 0.158 0.737
Au4 0.500 0.842 0.237

Computed properties:
density of states at the Fermi level: 12.4 states/eV per cell
SG: No. 26



Q: Which of them is the least stable? A: 1.



1:
## AcPmRhAu (PBE)

Data for AcPmRhAu after structural relaxation.

Cell: 4.764 5.822 5.822 Å, 40.73 90.00 90.00°
Fractional coordinates of all 4 atoms:
Ac1 0.000 0.000 0.000
Pm1 0.500 0.721 0.721
Rh1 0.000 0.262 0.262
Au1 0.500 0.435 0.435

Computed properties:
density of states at the Fermi level: 2.4 states/eV per cell
SG: No. 38



2:
## AcPmRhAu (PBE)

Data for AcPmRhAu after structural relaxation.

Cell: 5.253 5.253 5.253 Å, 60.00 60.00 60.00°
Fractional coordinates of all 4 atoms:
Ac1 0.000 0.000 0.000
Pm1 0.500 0.500 0.500
Rh1 0.750 0.750 0.750
Au1 0.250 0.250 0.250

Computed properties:
density of states at the Fermi level: 3.8 states/eV per cell
SG: No. 216



Q: Which of them is the least stable? A: 2.



1:
## Ac2PrAu6 (PBE)

Data for Ac2PrAu6 after structural relaxation.

Cell: 8.851 8.851 8.851 Å, 154.13 127.08 59.82°
Fractional coordinates of all 9 atoms:
Ac1 0.143 0.143 0.000
Ac2 0.857 0.857 0.000
Pr1 0.500 0.000 0.500
Au1 0.148 0.329 0.820
Au2 0.187 0.500 0.687
Au3 0.491 0.671 0.820
Au4 0.509 0.329 0.180
Au5 0.813 0.500 0.313
Au6 0.852 0.671 0.180

Computed properties:
density of states at the Fermi level: 5.6 states/eV per cell
SG: No. 71



2:
## Ac2PrAu6 (PBE)

Data for Ac2PrAu6 after structural relaxation.

Cell: 8.357 8.357 3.838 Å, 90.00 90.00 120.00°
Fractional coordinates of all 9 atoms:
Ac1 0.333 0.667 0.000
Ac2 0.667 0.333 0.000
Pr1 0.000 0.000 0.000
Au1 0.000 0.332 0.500
Au2 0.000 0.668 0.500
Au3 0.332 0.000 0.500
Au4 0.332 0.332 0.500
Au5 0.668 0.000 0.500
Au6 0.668 0.668 0.500

Computed properties:
density of states at the Fermi level: 6.6 states/eV per cell
SG: No. 191



Q: Which of them is the least stable? A: 1.



1:
## AcPrAu (PBE)

Data for AcPrAu after structural relaxation.

Cell: 8.890 4.102 16.164 Å, 90.00 90.77 90.00°
Fractional coordinates of all 18 atoms:
Ac1 0.017 0.250 0.289
Ac2 0.346 0.250 0.085
Ac3 0.468 0.250 0.390
Ac4 0.532 0.750 0.610
Ac5 0.654 0.750 0.915
Ac6 0.983 0.750 0.711
Pr1 0.029 0.250 0.911
Pr2 0.158 0.750 0.480
Pr3 0.361 0.250 0.785
Pr4 0.639 0.750 0.215
Pr5 0.842 0.250 0.520
Pr6 0.971 0.750 0.089
Au1 0.226 0.250 0.611
Au2 0.284 0.750 0.928
Au3 0.291 0.750 0.249
Au4 0.709 0.250 0.751
Au5 0.716 0.250 0.072
Au6 0.774 0.750 0.389

Computed properties:
density of states at the Fermi level: 17.7 states/eV per cell
SG: No. 11



2:
## AcPrAu (PBE)

Data for AcPrAu after structural relaxation.

Cell: 4.943 4.943 8.061 Å, 90.00 90.00 90.00°
Fractional coordinates of all 6 atoms:
Ac1 0.250 0.250 0.126
Ac2 0.750 0.750 0.874
Pr1 0.250 0.750 0.500
Pr2 0.750 0.250 0.500
Au1 0.250 0.250 0.745
Au2 0.750 0.750 0.255

Computed properties:
density of states at the Fermi level: 7.4 states/eV per cell
SG: No. 129



3:
## AcPrAu (PBE)

Data for AcPrAu after structural relaxation.

Cell: 7.136 7.136 7.136 Å, 148.65 148.65 44.92°
Fractional coordinates of all 3 atoms:
Ac1 0.000 0.000 0.000
Pr1 0.282 0.282 0.000
Au1 0.653 0.653 0.000

Computed properties:
density of states at the Fermi level: 3.9 states/eV per cell
SG: No. 107



Q: Which of them is the least stable? A: 3.



1:
## AcPrAu (PBE)

Data for AcPrAu after structural relaxation.

Cell: 5.318 5.318 5.318 Å, 60.00 60.00 60.00°
Fractional coordinates of all 3 atoms:
Ac1 0.000 0.000 0.000
Pr1 0.500 0.500 0.500
Au1 0.250 0.250 0.250

Computed properties:
density of states at the Fermi level: 5.9 states/eV per cell
SG: No. 216



2:
## AcPrAu (PBE)

Data for AcPrAu after structural relaxation.

Cell: 5.129 5.129 4.314 Å, 90.00 90.00 120.00°
Fractional coordinates of all 3 atoms:
Ac1 0.000 0.000 0.000
Pr1 0.333 0.667 0.466
Au1 0.667 0.333 0.646

Computed properties:
density of states at the Fermi level: 2.8 states/eV per cell
SG: No. 156



Q: Which of them is the least stable? A: 1.



1:
## AcPrAu4 (PBE)

Data for AcPrAu4 after structural relaxation.

Cell: 3.807 4.878 8.206 Å, 90.00 90.00 90.00°
Fractional coordinates of all 6 atoms:
Ac1 0.000 0.000 0.000
Pr1 0.000 0.500 0.500
Au1 0.500 0.000 0.334
Au2 0.500 0.000 0.666
Au3 0.500 0.500 0.172
Au4 0.500 0.500 0.828

Computed properties:
density of states at the Fermi level: 4.2 states/eV per cell
SG: No. 47



2:
## AcPrAu4 (PBE)

Data for AcPrAu4 after structural relaxation.

Cell: 4.822 4.822 7.557 Å, 90.05 90.05 120.10°
Fractional coordinates of all 6 atoms:
Ac1 0.000 0.000 0.000
Pr1 0.000 0.000 0.500
Au1 0.334 0.666 0.267
Au2 0.334 0.666 0.733
Au3 0.666 0.334 0.267
Au4 0.666 0.334 0.733

Computed properties:
density of states at the Fermi level: 5.1 states/eV per cell
SG: No. 12



3:
## AcPrAu4 (PBE)

Data for AcPrAu4 after structural relaxation.

Cell: 5.856 5.856 5.856 Å, 60.00 60.00 60.00°
Fractional coordinates of all 6 atoms:
Ac1 0.000 0.000 0.000
Pr1 0.750 0.750 0.750
Au1 0.375 0.375 0.375
Au2 0.375 0.375 0.874
Au3 0.375 0.874 0.375
Au4 0.874 0.375 0.375

Computed properties:
density of states at the Fermi level: 3.7 states/eV per cell
SG: No. 216



Q: Which of them is the least stable? A: 3.